Entry 1:
Density functional theory data (PBE) for a relaxed structure of SmDy6Er.

Output
**DFT formation energy**: 0.37 eV/atom
**Excess energy over the best structure of this formula in the dataset**: 351.1 meV/atom
**Space-group type**: C2/m, No. 12
**Magnetic moment**: 0.00 μB per formula unit

a b c (Å): 6.025 6.025 9.372
angles (deg): 87.24 117.22 111.30
Fractional coordinates of all 8 atoms:
Sm1 0.000 0.000 0.000
Dy1 0.366 0.457 0.301
Dy2 0.845 0.935 0.301
Dy3 0.155 0.065 0.699
Dy4 0.634 0.543 0.699
Dy5 0.702 0.372 0.073
Dy6 0.298 0.628 0.927
Er1 0.500 0.000 0.500

=====

Entry 2:
Density functional theory data (PBE) for a relaxed structure of Ti5Sb3N.

Output
**Space-group type**: P6_3/mcm, No. 193
**Magnetic moment**: 0.00 μB per formula unit
**Uncorrected formation energy**: -653 kJ/mol of formula units

a b c (Å): 5.551 7.966 7.966
angles (deg): 120.00 90.00 90.00
Fractional coordinates of all 18 atoms:
Ti1 0.000 0.333 0.667
Ti2 0.500 0.667 0.333
Ti3 0.000 0.667 0.333
Ti4 0.500 0.333 0.667
Ti5 0.750 0.793 0.000
Ti6 0.750 0.207 0.207
Ti7 0.750 0.000 0.793
Ti8 0.250 0.207 0.000
Ti9 0.250 0.793 0.793
Ti10 0.250 0.000 0.207
Sb1 0.750 0.404 0.000
Sb2 0.750 0.596 0.596
Sb3 0.750 0.000 0.404
Sb4 0.250 0.596 0.000
Sb5 0.250 0.404 0.404
Sb6 0.250 0.000 0.596
N1 0.000 0.000 0.000
N2 0.500 0.000 0.000

=====

Entry 3:
Density functional theory data (PBE) for a relaxed structure of Ce6CS2Cl3.

Output
**Space-group type**: C2/m, No. 12
**Magnetic moment**: 3.02 μB per formula unit
**Uncorrected formation energy**: -1717 kJ/mol of formula units

a b c (Å): 6.822 6.822 7.007
angles (deg): 99.32 99.32 119.82
Each line ends with the local moment (μB).
Fractional coordinates of all 12 atoms:
Ce1 0.927 0.616 0.779  0.43
Ce2 0.765 0.765 0.228  0.46
Ce3 0.073 0.384 0.221  0.43
Ce4 0.616 0.927 0.779  0.43
Ce5 0.235 0.235 0.772  0.46
Ce6 0.384 0.073 0.221  0.43
C1 0.000 0.000 0.000  -0.03
S1 0.335 0.665 0.000  -0.01
S2 0.665 0.335 0.000  -0.01
Cl1 0.175 0.825 0.500  -0.01
Cl2 0.825 0.175 0.500  -0.01
Cl3 0.500 0.500 0.500  -0.01

=====

Number 1 is which compound? SmDy6Er

=====

Which formula does entry 3 have? Ce6CS2Cl3

=====

Among the records above, which one has the highest magnetic moment? Ce6CS2Cl3

=====

magnetic moment of number 3 (Ce6CS2Cl3)? 3.02 μB per formula unit